## Tm2ThSc4 (PBE-GGA)

Data for crystalline Tm2ThSc4 at its relaxed geometry.

Cell lengths 3.427, 7.575, 7.575 Å; angles 87.06, 90.00, 90.00 degrees
Sites, in units of the cell vectors:
Sc (0.500, 0.000, 0.500)
Tm (0.000, 0.804, 0.196)
Sc (0.500, 0.500, 0.000)
Sc (0.000, 0.239, 0.239)
Th (0.500, 0.500, 0.500)
Tm (0.000, 0.196, 0.804)
Sc (0.000, 0.761, 0.761)

Summary:
- Excess energy over the best structure of this formula in the dataset: 77 meV per atom
- Theoretical density: 6.339 g cm⁻³


## Tm2Th5Sc2 (PBE-GGA)

Data for crystalline Tm2Th5Sc2 at its relaxed geometry.

Cell lengths 5.753, 6.162, 9.774 Å; angles 62.72, 72.89, 62.17 degrees
Sites, in units of the cell vectors:
Tm (0.223, 0.889, 0.666)
Sc (0.674, 0.645, 0.006)
Th (0.557, 0.209, 0.678)
Th (0.116, 0.439, 0.328)
Th (0.884, 0.561, 0.672)
Th (0.000, 0.000, 0.000)
Th (0.443, 0.791, 0.322)
Tm (0.777, 0.111, 0.334)
Sc (0.326, 0.355, 0.994)

Summary:
- Theoretical density: 9.735 g cm⁻³


## TmTh4Sc (PBE-GGA)

Data for crystalline TmTh4Sc at its relaxed geometry.

Cell lengths 6.088, 7.105, 9.202 Å; angles 78.87, 76.41, 72.95 degrees
Sites, in units of the cell vectors:
Tm (0.500, 0.250, 0.500)
Th (0.004, 0.417, 0.329)
Th (0.493, 0.418, 0.837)
Tm (0.500, 0.750, 0.500)
Th (0.004, 0.917, 0.329)
Th (0.507, 0.582, 0.163)
Sc (0.000, 0.250, 0.000)
Sc (0.000, 0.750, 0.000)
Th (0.493, 0.918, 0.837)
Th (0.507, 0.082, 0.163)
Th (0.996, 0.083, 0.671)
Th (0.996, 0.583, 0.671)

Summary:
- Theoretical density: 10.347 g cm⁻³


## Tm4ThSc6 (PBE-GGA)

Data for crystalline Tm4ThSc6 at its relaxed geometry.

Cell lengths 7.552, 7.552, 5.832 Å; angles 106.39, 106.39, 90.89 degrees
Sites, in units of the cell vectors:
Sc (0.494, 0.993, 0.998)
Sc (0.850, 0.322, 0.349)
Sc (0.145, 0.145, 0.746)
Sc (0.322, 0.850, 0.349)
Tm (0.125, 0.699, 0.676)
Sc (0.993, 0.494, 0.998)
Tm (0.876, 0.876, 0.228)
Th (0.507, 0.507, 0.999)
Tm (0.699, 0.125, 0.676)
Tm (0.315, 0.315, 0.367)
Sc (0.675, 0.675, 0.614)

Summary:
- Theoretical density: 6.423 g cm⁻³


## Tm5Th2Sc5 (PBE-GGA)

Data for crystalline Tm5Th2Sc5 at its relaxed geometry.

Cell lengths 4.881, 7.607, 10.710 Å; angles 114.80, 90.00, 108.71 degrees
Sites, in units of the cell vectors:
Tm (0.666, 0.332, 0.998)
Tm (0.587, 0.173, 0.253)
Tm (0.500, 0.000, 0.500)
Sc (0.168, 0.336, 0.501)
Th (0.918, 0.835, 0.254)
Sc (0.252, 0.505, 0.254)
Sc (0.000, 0.000, 0.000)
Tm (0.334, 0.668, 0.002)
Sc (0.832, 0.664, 0.499)
Th (0.082, 0.165, 0.746)
Tm (0.413, 0.827, 0.747)
Sc (0.748, 0.495, 0.746)

Summary:
- Excess energy over the best structure of this formula in the dataset: 0 meV per atom
- Theoretical density: 7.540 g cm⁻³


## Tm12Th2Sc5 (PBE-GGA)

Data for crystalline Tm12Th2Sc5 at its relaxed geometry.

Cell lengths 6.884, 9.177, 10.415 Å; angles 103.24, 90.00, 112.03 degrees
Sites, in units of the cell vectors:
Tm (0.055, 0.613, 0.814)
Sc (0.357, 0.714, 0.097)
Sc (0.000, 0.000, 0.500)
Tm (0.950, 0.900, 0.728)
Tm (0.384, 0.242, 0.634)
Tm (0.558, 0.613, 0.814)
Th (0.736, 0.000, 0.000)
Tm (0.616, 0.758, 0.366)
Th (0.264, 0.000, 0.000)
Tm (0.858, 0.242, 0.634)
Tm (0.142, 0.758, 0.366)
Tm (0.945, 0.387, 0.186)
Tm (0.449, 0.898, 0.676)
Tm (0.442, 0.387, 0.186)
Tm (0.551, 0.102, 0.324)
Sc (0.643, 0.286, 0.903)
Tm (0.050, 0.100, 0.272)
Sc (0.763, 0.526, 0.511)
Sc (0.237, 0.474, 0.489)

Summary:
- Theoretical density: 7.632 g cm⁻³


## Tm5Th2Sc5 (PBE-GGA)

Data for crystalline Tm5Th2Sc5 at its relaxed geometry.

Cell lengths 5.528, 11.615, 6.168 Å; angles 90.81, 63.38, 76.23 degrees
Sites, in units of the cell vectors:
Sc (0.353, 0.229, 0.066)
Tm (0.680, 0.239, 0.402)
Th (0.653, 0.511, 0.184)
Tm (0.004, 0.740, 0.252)
Th (0.347, 0.489, 0.816)
Tm (0.000, 0.000, 0.000)
Sc (0.681, 0.991, 0.648)
Sc (0.647, 0.771, 0.934)
Tm (0.996, 0.260, 0.748)
Sc (0.319, 0.009, 0.352)
Tm (0.320, 0.761, 0.598)
Sc (0.000, 0.500, 0.500)

Summary:
- Excess energy over the best structure of this formula in the dataset: 76 meV per atom
- Theoretical density: 7.479 g cm⁻³


## TmThSc6 (PBE-GGA)

Data for crystalline TmThSc6 at its relaxed geometry.

Cell lengths 4.675, 6.678, 6.678 Å; angles 90.10, 90.00, 90.00 degrees
Sites, in units of the cell vectors:
Sc (0.000, 0.248, 0.248)
Sc (0.000, 0.752, 0.752)
Tm (0.500, 0.500, 0.500)
Sc (0.500, 0.500, 0.000)
Th (0.500, 0.000, 0.000)
Sc (0.500, 0.000, 0.500)
Sc (0.000, 0.248, 0.752)
Sc (0.000, 0.752, 0.248)

Summary:
- Excess energy over the best structure of this formula in the dataset: 18 meV per atom
- Theoretical density: 5.343 g cm⁻³


| no. | formation energy from the elements (eV/f.u.) | DOS at the Fermi energy (states/eV per atom) |
| --- | --- | --- |
| 1 | 1.2 | 1.59 |
| 2 | 1.1 | 1.59 |
| 3 | 0.2 | 1.58 |
| 4 | 1.6 | 1.51 |
| 5 | 0.6 | 1.75 |
| 6 | 6.9 | 1.44 |
| 7 | 1.5 | 1.93 |
| 8 | 0.3 | 1.92 |